(1)
This record from Alexandria via LeMat-Bulk describes TiPtRh after structural relaxation. The functional is PBE.

Cell lengths 3.0641, 3.0641, 10.5894 Å; angles 98.32, 98.32, 90.00 degrees
Last column: nearest neighbours and their distance in Å.
Atoms (fractional coordinates):
Rh: 0.7966 0.7966 0.5933  4 Ti 2.58
Rh: 0.2034 0.2034 0.4067  4 Ti 2.58
Ti: 0.6355 0.6355 0.2710  4 Rh 2.58, 4 Pt 2.64
Pt: 0.9373 0.9373 0.8746  1 Pt 2.60, 4 Ti 2.64
Pt: 0.0627 0.0627 0.1254  1 Pt 2.60, 4 Ti 2.64
Ti: 0.3645 0.3645 0.7290  4 Rh 2.58, 4 Pt 2.64

Values from the calculation:
- D(E_F) (states/eV/cell) = 4.6
- DFT total energy (eV/atom) = -7.74
- formation enthalpy at 0 K (eV per atom) = -0.65
- calculated volume (Å³ per atom) = 16.22
- ΔE to the lowest computed polymorph (eV per atom) = 0.1615

(2)
This record from Alexandria via LeMat-Bulk describes VTe2Pt after structural relaxation. The functional is PBE.

Cell lengths 6.0112, 6.0112, 7.5252 Å; angles 66.46, 66.46, 90.00 degrees
Last column: nearest neighbours and their distance in Å.
Atoms (fractional coordinates):
V: 0.5000 0.5000 0.0000  4 Te 2.63
Pt: 0.7500 0.2500 0.5000  4 Te 2.64
V: 0.2500 0.7500 0.5000  4 Te 2.63
Te: 0.8750 0.8733 0.7500  2 V 2.63, 2 Pt 2.64
Te: 0.6233 0.1250 0.2500  2 V 2.63, 2 Pt 2.64
Te: 0.3750 0.3767 0.7500  2 V 2.63, 2 Pt 2.64
Pt: 0.0000 0.0000 0.0000  4 Te 2.64
Te: 0.1267 0.6250 0.2500  2 V 2.63, 2 Pt 2.64

Values from the calculation:
- D(E_F) (states/eV/cell) = 7.7
- DFT total energy (eV/atom) = -5.34
- calculated volume (Å³ per atom) = 28.05
- ΔE to the lowest computed polymorph (eV per atom) = 0.0190

(3)
This record from Alexandria via LeMat-Bulk describes Er4In3Ag after structural relaxation. The functional is PBE.

Cell lengths 3.5391, 3.5391, 16.1654 Å; angles 90.00, 90.00, 90.00 degrees
Last column: nearest neighbours and their distance in Å.
Atoms (fractional coordinates):
In: 0.5000 0.5000 0.2410  8 Er 3.24-3.26, 4 In 3.54
Ag: 0.5000 0.5000 0.0000  8 Er 3.10
In: 0.5000 0.5000 0.5000  8 Er 3.26, 4 In 3.54
Er: 0.0000 0.0000 0.8866  4 Ag 3.10, 4 In 3.24
Er: 0.0000 0.0000 0.1134  4 Ag 3.10, 4 In 3.24
Er: 0.0000 0.0000 0.6295  8 In 3.26, 4 Er 3.54
Er: 0.0000 0.0000 0.3705  8 In 3.26, 4 Er 3.54
In: 0.5000 0.5000 0.7590  8 Er 3.24-3.26, 4 In 3.54

Values from the calculation:
- D(E_F) (states/eV/cell) = 4.5
- DFT total energy (eV/atom) = -4.09
- formation enthalpy at 0 K (eV per atom) = -0.42
- calculated volume (Å³ per atom) = 25.31
- ΔE to the lowest computed polymorph (eV per atom) = 0.0000

(4)
This record from Alexandria via LeMat-Bulk describes AcFe4As12 after structural relaxation. The functional is PBE.

Cell lengths 7.2714, 7.2714, 7.2714 Å; angles 109.47, 109.47, 109.47 degrees
Last column: nearest neighbours and their distance in Å.
Atoms (fractional coordinates):
As: 0.8422 0.6545 0.4967  2 Fe 2.38, 2 As 2.59-2.65
Fe: 0.5000 0.5000 0.5000  6 As 2.38
Fe: 0.5000 0.0000 0.0000  6 As 2.38
As: 0.3455 0.1877 0.8422  2 Fe 2.38, 2 As 2.59-2.65
As: 0.1578 0.3455 0.5033  2 Fe 2.38, 2 As 2.59-2.65
As: 0.3455 0.5033 0.1578  2 Fe 2.38, 2 As 2.59-2.65
Ac: 0.0000 0.0000 0.0000  12 As 3.19
As: 0.1877 0.8422 0.3455  2 Fe 2.38, 2 As 2.59-2.65
As: 0.8123 0.1578 0.6545  2 Fe 2.38, 2 As 2.59-2.65
As: 0.6545 0.8123 0.1578  2 Fe 2.38, 2 As 2.59-2.65
As: 0.4967 0.8422 0.6545  2 Fe 2.38, 2 As 2.59-2.65
As: 0.6545 0.4967 0.8422  2 Fe 2.38, 2 As 2.59-2.65
As: 0.8422 0.3455 0.1877  2 Fe 2.38, 2 As 2.59-2.65
Fe: 0.0000 0.5000 0.0000  6 As 2.38
As: 0.5033 0.1578 0.3455  2 Fe 2.38, 2 As 2.59-2.65
Fe: 0.0000 0.0000 0.5000  6 As 2.38
As: 0.1578 0.6545 0.8123  2 Fe 2.38, 2 As 2.59-2.65

Values from the calculation:
- D(E_F) (states/eV/cell) = 16.1
- DFT total energy (eV/atom) = -5.91
- formation enthalpy at 0 K (eV per atom) = -0.39
- calculated volume (Å³ per atom) = 17.41

(5)
This record from Alexandria via LeMat-Bulk describes CdP2WCl after structural relaxation. The functional is PBE.

Cell lengths 4.9309, 4.9309, 4.9361 Å; angles 90.00, 90.00, 90.00 degrees
Last column: nearest neighbours and their distance in Å.
Atoms (fractional coordinates):
Cd: 0.0000 0.0000 0.0000  4 P 2.47, 2 Cl 2.47
P: 0.0000 0.5000 0.0000  2 Cd 2.47
P: 0.5000 0.0000 0.0000  2 Cd 2.47
W: 0.5000 0.5000 0.5000  4 Cl 3.49, 8 P 3.49
Cl: 0.0000 0.0000 0.5000  2 Cd 2.47

Values from the calculation:
- D(E_F) (states/eV/cell) = 4.4
- DFT total energy (eV/atom) = -3.63
- calculated volume (Å³ per atom) = 24.00
- ΔE to the lowest computed polymorph (eV per atom) = 1.3978

(6)
This record from Alexandria via LeMat-Bulk describes Rb2NdTiS4 after structural relaxation. The functional is PBE.

Cell lengths 7.1354, 7.1354, 7.1354 Å; angles 95.26, 117.01, 117.01 degrees
Last column: nearest neighbours and their distance in Å.
Atoms (fractional coordinates):
S: 0.9324 0.5520 0.1580  1 Ti 2.36
Ti: 0.0000 0.5000 0.5000  4 S 2.36
S: 0.3940 0.8420 0.7745  1 Ti 2.36
Rb: 0.5000 0.7500 0.2500  4 S 3.32
Rb: 0.0000 0.0000 0.0000  4 S 3.39
S: 0.6060 0.3805 0.4480  1 Ti 2.36
Nd: 0.5000 0.2500 0.7500  4 S 2.70
S: 0.0676 0.2255 0.6195  1 Ti 2.36

Values from the calculation:
- D(E_F) (states/eV/cell) = 4.7
- DFT total energy (eV/atom) = -5.28
- calculated volume (Å³ per atom) = 33.41

(7)
This record from Alexandria via LeMat-Bulk describes LaMgZr2W after structural relaxation. The functional is PBE.

Cell lengths 5.0458, 5.1303, 5.0458 Å; angles 90.00, 90.00, 90.00 degrees
Last column: nearest neighbours and their distance in Å.
Atoms (fractional coordinates):
Zr: 0.0000 0.0000 0.5000  2 La 2.52
W: 0.5000 0.5000 0.5000  4 Mg 3.57, 8 Zr 3.60
Zr: 0.5000 0.0000 0.0000  2 La 2.52
Mg: 0.0000 0.5000 0.0000  2 La 2.57
La: 0.0000 0.0000 0.0000  4 Zr 2.52, 2 Mg 2.57

Values from the calculation:
- D(E_F) (states/eV/cell) = 9.6
- DFT total energy (eV/atom) = -5.21
- formation enthalpy at 0 K (eV per atom) = 2.10
- calculated volume (Å³ per atom) = 26.12

(8)
This record from Alexandria via LeMat-Bulk describes DyHo2Th after structural relaxation. The functional is PBE.

Cell lengths 3.5766, 3.5766, 11.5627 Å; angles 81.10, 81.10, 60.00 degrees
Last column: nearest neighbours and their distance in Å.
Atoms (fractional coordinates):
Dy: 0.5005 0.5005 0.4984  6 Ho 3.52-3.56, 6 Dy 3.58
Ho: 0.2508 0.2508 0.2475  3 Th 3.48, 3 Dy 3.52, 6 Ho 3.58
Th: 0.6663 0.6663 0.0012  6 Ho 3.48-3.50, 6 Th 3.58
Ho: 0.0824 0.0824 0.7529  3 Th 3.50, 3 Dy 3.56, 6 Ho 3.58

Values from the calculation:
- D(E_F) (states/eV/cell) = 6.4
- DFT total energy (eV/atom) = -5.29
- formation enthalpy at 0 K (eV per atom) = 0.01
- calculated volume (Å³ per atom) = 31.51
- ΔE to the lowest computed polymorph (eV per atom) = 0.0000